Entry 1:
Material: SrIrSe
Method: DFT, PBE
State: relaxed

Values from the calculation:
The value obtained for the uncorrected formation energy is -0.23 eV per atom. Its polymorph energy (0 for the lowest one) is 475 meV per atom. The calculation puts the theoretical density at 8617 kg/m³. Its total magnetic moment is 0.000 μB per formula unit. The density of states at the Fermi level comes out at 3.4 states/eV per cell.

abc: 3.6154 3.6154 10.5796
angles: 90.00 90.00 90.00
Closest atoms and distances in Å follow each position.
Space group I4mm (No. 107)
Inequivalent atoms, fractional coordinates:
Sr (0.0000, 0.0000, 0.0000) [2 per cell]  1 Se 2.93, 1 Ir 3.00
Ir (0.0000, 0.0000, 0.7164) [2 per cell]  4 Se 2.64
Se (0.0000, 0.0000, 0.2770) [2 per cell]  4 Ir 2.64, 1 Sr 2.93

Entry 2:
Material: SrIrSe2
Method: DFT, PBE
State: relaxed

Values from the calculation:
The value obtained for the uncorrected formation energy is -0.33 eV per atom. Its polymorph energy (0 for the lowest one) is 466 meV per atom. The calculation puts the theoretical density at 8842 kg/m³. Its total magnetic moment is 0.000 μB per formula unit. The density of states at the Fermi level comes out at 3.5 states/eV per cell.

abc: 4.9078 4.9078 3.4132
angles: 90.00 90.00 90.00
Closest atoms and distances in Å follow each position.
Space group P4/mmm (No. 123)
Inequivalent atoms, fractional coordinates:
Sr (0.0000, 0.0000, 0.0000) [1 per cell]  8 Se 2.99
Ir (0.5000, 0.5000, 0.0000) [1 per cell]  8 Se 2.99
Se (0.0000, 0.5000, 0.5000) [2 per cell]  4 Ir 2.99, 4 Sr 2.99

Entry 3:
Material: SrIrSe2
Method: DFT, PBE
State: relaxed

Values from the calculation:
The value obtained for the uncorrected formation energy is -0.58 eV per atom. Its polymorph energy (0 for the lowest one) is 223 meV per atom. The calculation puts the theoretical density at 6123 kg/m³. Its total magnetic moment is 0.000 μB per formula unit. The density of states at the Fermi level comes out at 4.9 states/eV per cell.

abc: 6.0059 6.0059 13.1644
angles: 90.00 90.00 90.00
Closest atoms and distances in Å follow each position.
Space group I-42d (No. 122)
Inequivalent atoms, fractional coordinates:
Sr (0.0000, 0.0000, 0.0000) [4 per cell]  4 Se 3.00
Ir (0.0000, 0.0000, 0.5000) [4 per cell]  4 Se 2.44
Se (0.1653, 0.2500, 0.6250) [8 per cell]  2 Ir 2.44

Entry 4:
Material: SrIrSe2
Method: DFT, PBE
State: relaxed

Values from the calculation:
The value obtained for the uncorrected formation energy is -0.73 eV per atom. Its polymorph energy (0 for the lowest one) is 65 meV per atom. The calculation puts the theoretical density at 8059 kg/m³. Its total magnetic moment is 0.000 μB per formula unit. The density of states at the Fermi level comes out at 9.2 states/eV per cell.

abc: 4.1721 4.1721 17.9454
angles: 90.00 90.00 120.00
Closest atoms and distances in Å follow each position.
Space group R-3m (No. 166, hexagonal axes)
Inequivalent atoms, fractional coordinates:
Sr (0.0000, 0.0000, 0.0000) [3 per cell]  6 Se 3.09
Ir (0.0000, 0.0000, 0.5000) [3 per cell]  6 Se 2.63
Se (0.0000, 0.0000, 0.2253) [6 per cell]  3 Ir 2.63

Entry 5:
Material: SrIrSe2
Method: DFT, PBE
State: relaxed

Values from the calculation:
The value obtained for the uncorrected formation energy is -0.80 eV per atom. Its polymorph energy (0 for the lowest one) is 0 meV per atom. The calculation puts the theoretical density at 7629 kg/m³. Its total magnetic moment is 0.001 μB per formula unit. The density of states at the Fermi level comes out at 5.6 states/eV per cell.

abc: 3.8479 5.9086 8.3814
angles: 90.00 90.00 90.00
Closest atoms and distances in Å follow each position.
Space group Immm (No. 71)
Inequivalent atoms, fractional coordinates:
Sr (0.0000, 0.0000, 0.0000) [2 per cell]  8 Se 3.27-3.33, 4 Ir 3.53
Ir (0.0000, 0.0000, 0.5000) [2 per cell]  4 Se 2.47
Se (0.0000, 0.5000, 0.1840) [4 per cell]  2 Ir 2.47

Entry 6:
Material: SrIrSe
Method: DFT, PBE
State: relaxed

Values from the calculation:
The value obtained for the uncorrected formation energy is -0.70 eV per atom. Its polymorph energy (0 for the lowest one) is 0 meV per atom. The calculation puts the theoretical density at 8427 kg/m³. Its total magnetic moment is 0.000 μB per formula unit. The density of states at the Fermi level comes out at 2.6 states/eV per cell.

abc: 4.2725 4.2725 4.4722
angles: 90.00 90.00 120.00
Closest atoms and distances in Å follow each position.
Space group P-6m2 (No. 187)
Inequivalent atoms, fractional coordinates:
Sr (0.0000, 0.0000, 0.0000) [1 per cell]  6 Se 3.33, 6 Ir 3.33
Ir (0.6667, 0.3333, 0.5000) [1 per cell]  3 Se 2.47
Se (0.3333, 0.6667, 0.5000) [1 per cell]  3 Ir 2.47

Entry 7:
Material: Sr2IrSe2
Method: DFT, PBE
State: relaxed

Values from the calculation:
The value obtained for the uncorrected formation energy is -0.41 eV per atom. Its polymorph energy (0 for the lowest one) is 21 meV per atom. The calculation puts the theoretical density at 6239 kg/m³. Its total magnetic moment is 2.659 μB per formula unit. The density of states at the Fermi level comes out at 9.5 states/eV per cell.

abc: 8.3892 8.3892 3.9735
angles: 90.00 90.00 90.00
Closest atoms and distances in Å follow each position.
Space group P4/mbm (No. 127)
Inequivalent atoms, fractional coordinates:
Sr (0.1505, 0.3495, 0.0000) [4 per cell]  6 Se 3.01-3.27, 2 Ir 3.19
Ir (0.0000, 0.0000, 0.0000) [2 per cell]  4 Sr 3.19
Se (0.1587, 0.6587, 0.5000) [4 per cell]  6 Sr 3.01-3.27

Entry 8:
Material: SrIrSe2
Method: DFT, PBE
State: relaxed

Values from the calculation:
The value obtained for the uncorrected formation energy is -0.10 eV per atom. Its polymorph energy (0 for the lowest one) is 696 meV per atom. The calculation puts the theoretical density at 8533 kg/m³. Its total magnetic moment is 0.001 μB per formula unit. The density of states at the Fermi level comes out at 3.7 states/eV per cell.

abc: 3.4553 3.4553 7.1352
angles: 90.00 90.00 90.00
Closest atoms and distances in Å follow each position.
Space group P4/mmm (No. 123)
Inequivalent atoms, fractional coordinates:
Sr (0.0000, 0.0000, 0.0000) [1 per cell]  8 Se 3.22, 4 Sr 3.46, 2 Ir 3.57
Ir (0.0000, 0.0000, 0.5000) [1 per cell]  8 Se 2.85
Se (0.5000, 0.5000, 0.2943) [2 per cell]  4 Ir 2.85, 1 Se 2.94

Entry 9:
Material: SrIrSe2
Method: DFT, PBE
State: relaxed

Values from the calculation:
The value obtained for the uncorrected formation energy is -0.75 eV per atom. Its polymorph energy (0 for the lowest one) is 47 meV per atom. The calculation puts the theoretical density at 6814 kg/m³. Its total magnetic moment is 0.000 μB per formula unit. The density of states at the Fermi level comes out at 6.3 states/eV per cell.

abc: 4.6126 4.3441 10.6483
angles: 90.00 90.00 90.00
Closest atoms and distances in Å follow each position.
Space group Amm2 (No. 38)
Inequivalent atoms, fractional coordinates:
Sr (0.0000, 0.0000, 0.0000) [2 per cell]  7 Se 3.08-3.39, 2 Ir 3.27
Ir (0.5000, 0.0000, 0.7820) [2 per cell]  4 Se 2.45
Se (0.0000, 0.0000, 0.7050) [2 per cell]  2 Ir 2.45
Se (0.5000, 0.0000, 0.3878) [2 per cell]  2 Ir 2.45

Entry 10:
Material: SrIrSe4
Method: DFT, PBE
State: relaxed

Values from the calculation:
The value obtained for the uncorrected formation energy is 0.43 eV per atom. The calculation puts the theoretical density at 7403 kg/m³. Its total magnetic moment is 1.033 μB per formula unit. The density of states at the Fermi level comes out at 26.9 states/eV per cell.

abc: 8.1153 8.1153 8.1153
angles: 90.00 90.00 90.00
Closest atoms and distances in Å follow each position.
Space group F-43m (No. 216)
Inequivalent atoms, fractional coordinates:
Sr (0.0000, 0.0000, 0.0000) [4 per cell]  12 Se 3.37, 4 Ir 3.51
Ir (0.2500, 0.2500, 0.7500) [4 per cell]  12 Se 3.36, 4 Sr 3.51
Se (0.1229, 0.1229, 0.3771) [16 per cell]  6 Se 2.82-2.92

Entry 11:
Material: Sr8Ir2Se
Method: DFT, PBE
State: relaxed

Values from the calculation:
The value obtained for the uncorrected formation energy is -0.20 eV per atom. The calculation puts the theoretical density at 3910 kg/m³. Its total magnetic moment is 0.000 μB per formula unit. The density of states at the Fermi level comes out at 6.3 states/eV per cell.

abc: 9.4565 9.4565 6.3846
angles: 90.00 90.00 120.00
Closest atoms and distances in Å follow each position.
Space group P-3 (No. 147)
Inequivalent atoms, fractional coordinates:
Sr (0.1632, 0.8337, 0.2500) [6 per cell]  1 Ir 2.78
Sr (0.3333, 0.6667, 0.7253) [2 per cell]  2 Ir 3.03-3.36
Ir (0.3333, 0.6667, 0.1994) [2 per cell]  4 Sr 2.78-3.03
Se (0.0000, 0.0000, 0.0000) [1 per cell]  6 Sr 3.14

Entry 12:
Material: SrIrSe2
Method: DFT, PBE
State: relaxed

Values from the calculation:
The value obtained for the uncorrected formation energy is -0.35 eV per atom. Its polymorph energy (0 for the lowest one) is 451 meV per atom. The calculation puts the theoretical density at 7194 kg/m³. Its total magnetic moment is 0.002 μB per formula unit. The density of states at the Fermi level comes out at 3.4 states/eV per cell.

abc: 3.4219 3.4219 8.6288
angles: 90.00 90.00 90.00
Closest atoms and distances in Å follow each position.
Space group P4mm (No. 99)
Inequivalent atoms, fractional coordinates:
Sr (0.0000, 0.0000, 0.0000) [1 per cell]  5 Se 3.08-3.30, 4 Sr 3.42
Ir (0.5000, 0.5000, 0.2875) [1 per cell]  4 Se 2.55
Se (0.0000, 0.0000, 0.3822) [1 per cell]  4 Ir 2.55
Se (0.5000, 0.5000, 0.7798) [1 per cell]  4 Sr 3.08, 4 Se 3.42

Which of these has the highest theoretical density? number 2

Which of these has the highest theoretical density? number 2

Which formula does entry 8 have? SrIrSe2

Which value of theoretical density does entry 8 give? 8533 kg/m³